No. 1
# LaPmTl | Alexandria | GGA-PBE | optimized geometry
data_LaPmTl
_cell_length_a 5.3669
_cell_length_b 5.3669
_cell_length_c 3.8622
_cell_angle_alpha 90.00
_cell_angle_beta 90.00
_cell_angle_gamma 120.00
_symmetry_space_group_name_H-M 'P 3 m 1'
_symmetry_Int_Tables_number 156
loop_
_symmetry_equiv_pos_as_xyz
'x,y,z'
'-y,x-y,z'
'-x+y,-x,z'
'-y,-x,z'
'-x+y,y,z'
'x,x-y,z'
loop_
_atom_site_label
_atom_site_fract_x
_atom_site_fract_y
_atom_site_fract_z
La1 0.0000 0.0000 0.0000
Pm1 0.6667 0.3333 0.5782
Tl1 0.3333 0.6667 0.3704
# * energy of formation from the pure elements: -0.192 eV/atom
# * E: -4.206 eV per atom

***

No. 2
# Ba2CeBiO6 | Alexandria | GGA-PBE | optimized geometry
data_Ba2CeBiO6
_cell_length_a 8.907
_cell_length_b 8.907
_cell_length_c 8.907
_cell_angle_alpha 90.00
_cell_angle_beta 90.00
_cell_angle_gamma 90.00
_symmetry_space_group_name_H-M 'F m -3 m'
_symmetry_Int_Tables_number 225
_symmetry_space_group_name_Hall '-F 4 2 3'
loop_
_atom_site_label
_atom_site_fract_x
_atom_site_fract_y
_atom_site_fract_z
Ba1 0.250 0.250 0.250
Ce1 0.000 0.000 0.000
Bi1 0.000 0.000 0.500
O1 0.000 0.000 0.249
# * formation energy without anion corrections: -2.447 eV per atom
# * E: -6.788 eV per atom

***

No. 3
# NbFeGeH | Alexandria | GGA-PBE | optimized geometry
data_NbFeGeH
_cell_length_a 2.895
_cell_length_b 3.006
_cell_length_c 10.468
_cell_angle_alpha 90.00
_cell_angle_beta 90.00
_cell_angle_gamma 90.00
_symmetry_space_group_name_H-M 'I m m 2'
_symmetry_Int_Tables_number 44
loop_
_symmetry_equiv_pos_as_xyz
'x,y,z'
'-x,-y,z'
'-x,y,z'
'x,-y,z'
'x+1/2,y+1/2,z+1/2'
'-x+1/2,-y+1/2,z+1/2'
'-x+1/2,y+1/2,z+1/2'
'x+1/2,-y+1/2,z+1/2'
loop_
_atom_site_label
_atom_site_fract_x
_atom_site_fract_y
_atom_site_fract_z
Nb1 0.000 0.000 0.000
Fe1 0.000 0.000 0.698
Ge1 0.000 0.000 0.322
H1 0.000 0.500 0.118
# * E: -6.732 eV per atom

***

No. 4
# MnAlIN2 | Alexandria | GGA-PBE | optimized geometry
data_MnAlIN2
_cell_length_a 3.793
_cell_length_b 3.793
_cell_length_c 5.398
_cell_angle_alpha 90.00
_cell_angle_beta 90.00
_cell_angle_gamma 90.00
_symmetry_space_group_name_H-M 'P 4/m m m'
_symmetry_Int_Tables_number 123
_symmetry_space_group_name_Hall '-P 4 2'
loop_
_atom_site_label
_atom_site_fract_x
_atom_site_fract_y
_atom_site_fract_z
Mn1 0.000 0.000 0.000
Al1 0.500 0.500 0.500
I1 0.000 0.000 0.500
N1 0.000 0.500 0.000
# * formation energy without anion corrections: 0.921 eV per atom
# * E: -5.302 eV per atom